Computed, not measured: a relaxed SrCeGaSn crystal at the PBE level of DFT.

```
SrCeGaSn
1.0
7.731 0.000 0.000
0.000 7.731 0.000
0.000 0.000 7.731
Sr Ce Ga Sn
4 4 4 4
direct
0.000 0.000 0.000
0.000 0.500 0.500
0.500 0.000 0.500
0.500 0.500 0.000
0.000 0.000 0.500
0.000 0.500 0.000
0.500 0.000 0.000
0.500 0.500 0.500
0.250 0.250 0.250
0.250 0.750 0.750
0.750 0.250 0.750
0.750 0.750 0.250
0.250 0.250 0.750
0.250 0.750 0.250
0.750 0.250 0.250
0.750 0.750 0.750
```



Computed, not measured: a relaxed Y2MgOs2 crystal at the PBE level of DFT.

```
Y2MgOs2
1.0
4.840 -2.771 0.000
4.840 2.771 0.000
-2.265 0.000 8.034
Y Mg Os
4 2 4
direct
0.000 0.300 0.149
0.000 0.700 0.851
0.300 0.000 0.649
0.700 0.000 0.351
0.355 0.645 0.250
0.645 0.355 0.750
0.214 0.507 0.492
0.493 0.786 0.008
0.507 0.214 0.992
0.786 0.493 0.508
```



Computed, not measured: a relaxed GaCu3Au4 crystal at the PBE level of DFT.

```
GaCu3Au4
1.0
9.214 0.000 0.000
0.000 5.782 0.000
0.000 0.000 4.668
Ga Cu Au
2 6 8
direct
0.000 0.000 0.000
0.500 0.000 0.000
0.000 0.500 0.000
0.250 0.000 0.401
0.250 0.500 0.398
0.500 0.500 0.000
0.750 0.000 0.599
0.750 0.500 0.602
0.000 0.252 0.500
0.000 0.748 0.500
0.250 0.252 0.907
0.250 0.748 0.907
0.500 0.252 0.500
0.500 0.748 0.500
0.750 0.252 0.093
0.750 0.748 0.093
```

ΔE to the lowest computed polymorph   0.0 kJ/mol of atoms



| no. | energy (eV per cell) |
| --- | --- |
| 1 | -65.364 |
| 2 | -75.232 |
| 3 | -58.157 |